## CaTlCd2 (PBE)

Data for CaTlCd2 after structural relaxation.

```
CaTlCd2
1.0
3.723 0.000 0.000
-1.862 3.225 0.000
0.000 0.000 29.140
Ca Tl Cd
3 3 6
Cartesian
0.000 0.000 0.000
0.000 2.150 19.427
1.862 1.075 9.713
0.000 0.000 14.570
0.000 2.150 4.857
1.862 1.075 24.283
0.000 0.000 7.232
0.000 0.000 21.908
0.000 2.150 12.195
0.000 2.150 26.658
1.862 1.075 2.482
1.862 1.075 16.945
```

- density of states at the Fermi level (states/eV/f.u.) = 2.2
- uncorrected energy (eV for the cell shown) = -19.51
- crystal system = trigonal
- magnetization (μB/atom) = 0.00